Co3Tc | PBE | optimized geometry

Computed properties:
- final energy (eV/f.u.) = -30.9

```
data_Co3Tc
_cell_length_a 4.538
_cell_length_b 4.538
_cell_length_c 4.538
_cell_angle_alpha 90.00
_cell_angle_beta 90.00
_cell_angle_gamma 90.00
_symmetry_space_group_name_H-M 'P 1'
_symmetry_Int_Tables_number 1
loop_
_symmetry_equiv_pos_as_xyz
'x,y,z'
loop_
_atom_site_label
_atom_site_fract_x
_atom_site_fract_y
_atom_site_fract_z
Co1 0.500 0.000 0.250
Co2 0.750 0.500 0.000
Co3 0.250 0.500 0.000
Co4 0.000 0.750 0.500
Co5 0.000 0.250 0.500
Co6 0.500 0.000 0.750
Tc1 0.000 0.000 0.000
Tc2 0.500 0.500 0.500
```